Record 1
{"formula": "Sr2TlCd", "functional": "PBEsol", "state": "relaxed", "e_tot_ev_per_atom": -2.1891, "vol_a3_per_cell": 128.15, "ef_ev_per_atom": -0.312, "magnetic_moment_mub_per_cell": 0.0, "density_g_cm3": 6.38, "spacegroup": "No. 44", "lattice": [[-1.973, 2.801, 5.796], [1.973, -2.801, 5.796], [1.973, 2.801, -5.796]], "species": ["Sr", "Sr", "Tl", "Cd"], "fractional_positions": [[0.000, 0.000, 0.000], [0.703, 0.203, 0.500], [0.257, 0.757, 0.500], [0.452, 0.452, 0.000]]}

=====

Record 2
{"formula": "Sr2Tl2Cd", "functional": "PBEsol", "state": "relaxed", "e_tot_ev_per_atom": -2.3441, "vol_a3_per_cell": 316.73, "ef_ev_per_atom": -0.316, "magnetic_moment_mub_per_cell": 0.0, "density_g_cm3": 7.30, "spacegroup": "No. 127", "lattice": [[8.033, 0.000, 0.000], [0.000, 8.033, 0.000], [0.000, 0.000, 4.908]], "species": ["Sr", "Sr", "Sr", "Sr", "Tl", "Tl", "Tl", "Tl", "Cd", "Cd"], "fractional_positions": [[0.170, 0.330, 0.000], [0.330, 0.830, 0.000], [0.670, 0.170, 0.000], [0.830, 0.670, 0.000], [0.135, 0.635, 0.500], [0.365, 0.135, 0.500], [0.635, 0.865, 0.500], [0.865, 0.365, 0.500], [0.000, 0.000, 0.500], [0.500, 0.500, 0.500]]}